# Li2InTcO6

A relaxed Li2InTcO6 crystal (PBE, the Alexandria database).

Computed properties:
Formation energy (no corrections): -1.25 eV/atom

a b c (Å): 6.7991 7.5692 7.5692
angles (deg): 99.00 69.05 69.05
With the nearest neighbours (Å) after each atom.
Sites, in units of the cell vectors:
Li 0.3814 0.6958 0.5464  5 O 1.96-2.08
O 0.6396 0.5401 0.6151  1 O 1.44
O 0.3604 0.4599 0.3849  1 O 1.44
O 0.2779 0.2043 0.0514  1 Tc 1.80
Li 0.6186 0.3042 0.4536  5 O 1.96-2.08
Li 0.1186 0.4536 0.3042  5 O 1.96-2.08
O 0.9821 0.3530 0.8435  1 Tc 1.76
In 0.7500 0.1172 0.8828  6 O 2.62-2.77
O 0.7779 0.0514 0.2043  1 Tc 1.80
In 0.2500 0.8828 0.1172  6 O 2.62-2.77
Li 0.8814 0.5464 0.6958  5 O 1.96-2.08
O 0.7221 0.7957 0.9486  1 Tc 1.80
O 0.5179 0.1565 0.6470  1 Tc 1.76
O 0.4821 0.8435 0.3530  1 Tc 1.76
O 0.0179 0.6470 0.1565  1 Tc 1.76
O 0.8604 0.3849 0.4599  1 O 1.44
O 0.2221 0.9486 0.7957  1 Tc 1.80
Tc 0.7500 0.8226 0.1774  4 O 1.76-1.80
O 0.1396 0.6151 0.5401  1 O 1.44
Tc 0.2500 0.1774 0.8226  4 O 1.76-1.80

***

# Na2TbZrSe4

A relaxed Na2TbZrSe4 crystal (PBE, the Alexandria database).

Computed properties:
Formation energy (no corrections): -1.48 eV/atom

a b c (Å): 3.9854 6.9623 7.4531
angles (deg): 107.92 90.00 90.00
With the nearest neighbours (Å) after each atom.
Sites, in units of the cell vectors:
Zr 0.5000 0.5000 0.0000  6 Se 2.77-2.78
Se 0.5000 0.7448 0.7687  1 Zr 2.77, 2 Tb 2.87, 3 Na 2.96-3.06
Se 0.0000 0.2679 0.7735  2 Zr 2.78, 1 Tb 2.88, 3 Na 2.96-3.04
Tb 0.0000 0.0000 0.0000  6 Se 2.87-2.88
Se 0.0000 0.7321 0.2265  2 Zr 2.78, 1 Tb 2.88, 3 Na 2.96-3.04
Na 0.5000 0.0000 0.5000  6 Se 3.04-3.06
Se 0.5000 0.2552 0.2313  1 Zr 2.77, 2 Tb 2.87, 3 Na 2.96-3.06
Na 0.0000 0.5000 0.5000  6 Se 2.96

***

# Mg3AsN

A relaxed Mg3AsN crystal (PBE, the Alexandria database).

Computed properties:
Formation energy (no corrections): -0.53 eV/atom

a b c (Å): 22.8255 5.6452 8.0846
angles (deg): 90.00 160.65 90.00
With the nearest neighbours (Å) after each atom.
Sites, in units of the cell vectors:
Mg 0.9314 0.0775 0.9713  2 N 2.09-2.24
Mg 0.5352 0.0956 0.2705  1 N 2.12
Mg 0.0686 0.9225 0.0287  2 N 2.09-2.24
Mg 0.6881 0.0651 0.0160  3 N 2.19-2.37
As 0.6490 0.2961 0.2963  5 Mg 2.54-2.79
Mg 0.3119 0.9349 0.9840  3 N 2.19-2.37
Mg 0.8119 0.5651 0.4840  3 N 2.19-2.37
N 0.4609 0.2477 0.3026  5 Mg 2.09-2.24
As 0.3510 0.7039 0.7037  5 Mg 2.54-2.79
Mg 0.4314 0.4225 0.4713  2 N 2.09-2.24
As 0.8510 0.7961 0.2037  5 Mg 2.54-2.79
N 0.5391 0.7523 0.6974  5 Mg 2.09-2.24
Mg 0.1881 0.4349 0.5160  3 N 2.19-2.37
Mg 0.5686 0.5775 0.5287  2 N 2.09-2.24
Mg 0.0352 0.4044 0.7705  1 N 2.12
N 0.0391 0.7477 0.1974  5 Mg 2.09-2.24
N 0.9609 0.2523 0.8026  5 Mg 2.09-2.24
Mg 0.9648 0.5956 0.2295  1 N 2.12
Mg 0.4648 0.9044 0.7295  1 N 2.12
As 0.1490 0.2039 0.7963  5 Mg 2.54-2.79

***

> Look up the formation energy (no corrections) of the second one.

-1.48 eV/atom